1.
The following is a GGA-PBE calculation of TlCoTeAuSe2 after structural relaxation, from OQMD.

Properties
Symmetry = Cmcm, No. 63

Lattice parameters (Å, degrees): 7.880 7.880 10.473 90.00 90.00 153.76
Fractional positions:
Tl1 0.217 0.783 0.750
Tl2 0.783 0.217 0.250
Co1 0.500 0.500 0.000
Co2 0.500 0.500 0.500
Te1 0.469 0.531 0.250
Te2 0.531 0.469 0.750
Au1 0.127 0.873 0.250
Au2 0.873 0.127 0.750
Se1 0.104 0.896 0.012
Se2 0.104 0.896 0.488
Se3 0.896 0.104 0.512
Se4 0.896 0.104 0.988

***

2.
The following is a GGA-PBE calculation of PaTlCo after structural relaxation, from OQMD.

Properties
Symmetry = F-43m, No. 216

Lattice parameters (Å, degrees): 4.735 4.735 4.735 60.00 60.00 60.00
Fractional positions:
Pa1 0.000 0.000 0.000
Tl1 0.750 0.750 0.750
Co1 0.500 0.500 0.500

***

3.
The following is a GGA-PBE calculation of TmCuHgTe3 after structural relaxation, from OQMD.

Properties
Symmetry = Cmcm, No. 63

Lattice parameters (Å, degrees): 7.768 7.768 11.071 90.00 90.00 149.80
Fractional positions:
Tm1 0.000 0.000 0.000
Tm2 0.000 0.000 0.500
Cu1 0.474 0.526 0.750
Cu2 0.526 0.474 0.250
Hg1 0.249 0.751 0.250
Hg2 0.751 0.249 0.750
Te1 0.088 0.912 0.750
Te2 0.361 0.639 0.571
Te3 0.361 0.639 0.929
Te4 0.639 0.361 0.071
Te5 0.639 0.361 0.429
Te6 0.912 0.088 0.250

***

4.
The following is a GGA-PBE calculation of Gd2ErHg after structural relaxation, from OQMD.

Properties
Symmetry = Amm2, No. 38
Energy of formation from the pure elements = -0.108 eV per atom

Lattice parameters (Å, degrees): 5.456 6.712 6.712 65.94 90.00 90.00
Fractional positions:
Gd1 0.000 0.000 0.000
Gd2 0.000 0.514 0.999
Gd3 0.000 0.999 0.514
Gd4 0.500 0.698 0.698
Er1 0.000 0.497 0.497
Er2 0.500 0.204 0.204
Hg1 0.500 0.201 0.692
Hg2 0.500 0.692 0.201

***

5.
The following is a GGA-PBE calculation of HfAgPd2 after structural relaxation, from OQMD.

Properties
Symmetry = F-43m, No. 216
Energy of formation from the pure elements = -0.365 eV per atom

Lattice parameters (Å, degrees): 4.578 4.578 4.578 60.00 60.00 60.00
Fractional positions:
Hf1 0.000 0.000 0.000
Ag1 0.250 0.250 0.250
Pd1 0.500 0.500 0.500
Pd2 0.750 0.750 0.750

***

6.
The following is a GGA-PBE calculation of NaSr2HfH6 after structural relaxation, from OQMD.

Properties
Symmetry = Fm-3m, No. 225

Lattice parameters (Å, degrees): 5.785 5.785 5.785 60.00 60.00 60.00
Fractional positions:
Na1 0.000 0.000 0.000
Sr1 0.250 0.250 0.250
Sr2 0.750 0.750 0.750
Hf1 0.500 0.500 0.500
H1 0.257 0.257 0.743
H2 0.257 0.743 0.257
H3 0.257 0.743 0.743
H4 0.743 0.257 0.257
H5 0.743 0.257 0.743
H6 0.743 0.743 0.257

***

7.
The following is a GGA-PBE calculation of ZrCuAgB after structural relaxation, from OQMD.

Properties
Symmetry = F-43m, No. 216

Lattice parameters (Å, degrees): 4.360 4.360 4.360 60.00 60.00 60.00
Fractional positions:
Zr1 0.000 0.000 0.000
Cu1 0.500 0.500 0.500
Ag1 0.750 0.750 0.750
B1 0.250 0.250 0.250

***

8.
The following is a GGA-PBE calculation of Al2Pt3 after structural relaxation, from OQMD.

Properties
Symmetry = R-3c, No. 167

Lattice parameters (Å, degrees): 5.686 5.686 5.686 69.83 69.83 69.83
Fractional positions:
Al1 0.107 0.107 0.107
Al2 0.393 0.393 0.393
Al3 0.607 0.607 0.607
Al4 0.893 0.893 0.893
Pt1 0.022 0.750 0.478
Pt2 0.250 0.522 0.978
Pt3 0.478 0.022 0.750
Pt4 0.522 0.978 0.250
Pt5 0.750 0.478 0.022
Pt6 0.978 0.250 0.522

***

9.
The following is a GGA-PBE calculation of CsNaHg after structural relaxation, from OQMD.

Properties
Symmetry = F-43m, No. 216

Lattice parameters (Å, degrees): 6.017 6.017 6.017 60.00 60.00 60.00
Fractional positions:
Cs1 0.000 0.000 0.000
Na1 0.500 0.500 0.500
Hg1 0.250 0.250 0.250

***

10.
The following is a GGA-PBE calculation of Dy3Sn3Ir2Pt after structural relaxation, from OQMD.

Properties
Symmetry = P-62m, No. 189

Lattice parameters (Å, degrees): 7.529 7.529 3.931 90.00 90.00 120.00
Fractional positions:
Dy1 0.000 0.593 0.000
Dy2 0.407 0.407 0.000
Dy3 0.593 0.000 0.000
Sn1 0.000 0.264 0.500
Sn2 0.264 0.000 0.500
Sn3 0.736 0.736 0.500
Ir1 0.333 0.667 0.500
Ir2 0.667 0.333 0.500
Pt1 0.000 0.000 0.000

***

11.
The following is a GGA-PBE calculation of LiYGePd after structural relaxation, from OQMD.

Properties
Symmetry = F-43m, No. 216

Lattice parameters (Å, degrees): 4.748 4.748 4.748 60.00 60.00 60.00
Fractional positions:
Li1 0.000 0.000 0.000
Y1 0.500 0.500 0.500
Ge1 0.750 0.750 0.750
Pd1 0.250 0.250 0.250

***

12.
The following is a GGA-PBE calculation of Th2AgPd2 after structural relaxation, from OQMD.

Properties
Symmetry = P4/mbm, No. 127
Energy of formation from the pure elements = -0.661 eV per atom

Lattice parameters (Å, degrees): 7.817 7.817 3.836 90.00 90.00 90.00
Fractional positions:
Th1 0.175 0.325 0.000
Th2 0.325 0.825 0.000
Th3 0.675 0.175 0.000
Th4 0.825 0.675 0.000
Ag1 0.000 0.000 0.500
Ag2 0.500 0.500 0.500
Pd1 0.128 0.628 0.500
Pd2 0.372 0.128 0.500
Pd3 0.628 0.872 0.500
Pd4 0.872 0.372 0.500

***

13.
The following is a GGA-PBE calculation of TaBPO after structural relaxation, from OQMD.

Properties
Symmetry = P4/nmm, No. 129

Lattice parameters (Å, degrees): 3.609 3.609 8.447 90.00 90.00 90.00
Fractional positions:
Ta1 0.250 0.750 0.000
Ta2 0.750 0.250 0.000
B1 0.250 0.250 0.434
B2 0.750 0.750 0.566
P1 0.250 0.250 0.208
P2 0.750 0.750 0.792
O1 0.250 0.750 0.500
O2 0.750 0.250 0.500

***

14.
The following is a GGA-PBE calculation of TmZnTc after structural relaxation, from OQMD.

Properties
Symmetry = F-43m, No. 216
Energy of formation from the pure elements = 0.351 eV per atom

Lattice parameters (Å, degrees): 4.409 4.409 4.409 60.00 60.00 60.00
Fractional positions:
Tm1 0.000 0.000 0.000
Zn1 0.750 0.750 0.750
Tc1 0.500 0.500 0.500

***

15.
The following is a GGA-PBE calculation of CdCuBiMo after structural relaxation, from OQMD.

Properties
Symmetry = F-43m, No. 216

Lattice parameters (Å, degrees): 4.759 4.759 4.759 60.00 60.00 60.00
Fractional positions:
Cd1 0.000 0.000 0.000
Cu1 0.750 0.750 0.750
Bi1 0.500 0.500 0.500
Mo1 0.250 0.250 0.250

***

16.
The following is a GGA-PBE calculation of PmAgSO after structural relaxation, from OQMD.

Properties
Symmetry = P2_1, No. 4

Lattice parameters (Å, degrees): 5.787 5.790 11.043 90.00 92.04 90.00
Fractional positions:
Pm1 0.005 0.000 0.102
Pm2 0.494 0.001 0.897
Pm3 0.506 0.501 0.103
Pm4 0.995 0.500 0.898
Ag1 0.193 0.274 0.497
Ag2 0.499 0.020 0.300
Ag3 0.501 0.520 0.700
Ag4 0.807 0.774 0.503
S1 0.207 0.307 0.284
S2 0.211 0.234 0.710
S3 0.789 0.734 0.290
S4 0.793 0.807 0.716
O1 0.250 0.750 0.000
O2 0.252 0.249 0.000
O3 0.748 0.749 0.000
O4 0.750 0.250 0.000

***

17.
The following is a GGA-PBE calculation of ZrNbSn after structural relaxation, from OQMD.

Properties
Symmetry = F-43m, No. 216

Lattice parameters (Å, degrees): 4.689 4.689 4.689 60.00 60.00 60.00
Fractional positions:
Zr1 0.000 0.000 0.000
Nb1 0.500 0.500 0.500
Sn1 0.750 0.750 0.750

***

18.
The following is a GGA-PBE calculation of CsNiTeAuSe2 after structural relaxation, from OQMD.

Properties
Symmetry = Cmcm, No. 63

Lattice parameters (Å, degrees): 9.058 9.058 10.666 90.00 90.00 156.71
Fractional positions:
Cs1 0.233 0.767 0.750
Cs2 0.767 0.233 0.250
Ni1 0.500 0.500 0.000
Ni2 0.500 0.500 0.500
Te1 0.454 0.546 0.250
Te2 0.546 0.454 0.750
Au1 0.097 0.903 0.250
Au2 0.903 0.097 0.750
Se1 0.091 0.909 0.018
Se2 0.091 0.909 0.482
Se3 0.909 0.091 0.518
Se4 0.909 0.091 0.982

***

19.
The following is a GGA-PBE calculation of RbNbTl2Se4 after structural relaxation, from OQMD.

Properties
Symmetry = I-42m, No. 121

Lattice parameters (Å, degrees): 6.958 6.958 6.958 110.46 110.46 107.51
Fractional positions:
Rb1 0.000 0.000 0.000
Nb1 0.500 0.500 0.000
Tl1 0.000 0.500 0.500
Tl2 0.500 0.000 0.500
Se1 0.158 0.521 0.000
Se2 0.479 0.479 0.638
Se3 0.521 0.158 0.000
Se4 0.842 0.842 0.362

***

20.
The following is a GGA-PBE calculation of Cs2ZrAg2Se2S2 after structural relaxation, from OQMD.

Properties
Symmetry = P2, No. 3

Lattice parameters (Å, degrees): 6.296 6.282 7.887 90.00 113.46 90.00
Fractional positions:
Cs1 0.000 0.000 0.000
Cs2 0.500 0.471 0.000
Zr1 0.500 0.733 0.500
Ag1 0.000 0.723 0.500
Ag2 0.500 0.237 0.500
Se1 0.372 0.966 0.711
Se2 0.628 0.966 0.289
S1 0.179 0.511 0.304
S2 0.821 0.511 0.696

***

no.,electronic total energy (eV/atom)
1,-3.953
2,-5.430
3,-3.505
4,-3.650
5,-6.148
6,-3.752
7,-5.094
8,-5.784
9,-0.925
10,-6.422
11,-5.156
12,-6.261
13,-7.338
14,-5.016
15,-4.197
16,-6.037
17,-7.330
18,-3.607
19,-4.485
20,-4.494